The following is a PBEsol calculation of a relaxed structure of Li2AlSe, from Alexandria via LeMat-Bulk.

Computed properties:
Space group: C2/m
ΔE_f (raw), kJ/mol of formula units: -157
V, Å³/atom: 18.44
D(E_F), states/eV/f.u.: 0.855
Excess energy over the best structure of this formula in the dataset, kcal/mol of atoms: 0.000
Magnetization, μB per atom: 0.00

```
Li2AlSe
1.0
3.743 -1.820 0.000
3.743 1.820 0.000
-1.334 0.000 5.415
Li Al Se
2 1 1
direct
0.224 0.224 0.182
0.776 0.776 0.818
0.000 0.000 0.500
0.500 0.500 0.000
```

***

The following is a PBEsol calculation of a relaxed structure of Sr2Mg, from Alexandria via LeMat-Bulk.

Computed properties:
Space group: I4/mmm
V, Å³/atom: 40.88
D(E_F), states/eV/f.u.: 2.854
Total DFT energy (no corrections), eV per cell: -5.51
Magnetization, μB per atom: 0.00

```
Sr2Mg
1.0
-2.072 2.072 7.144
2.072 -2.072 7.144
2.072 2.072 -7.144
Sr Mg
2 1
direct
0.143 0.143 0.000
0.857 0.857 0.000
0.500 0.500 0.000
```